Record 1
Compound: Ac2CdGa4Hg3
Source: Alexandria
Functional: PBE
Structure: optimized geometry

Unit cell a=4.654 b=4.654 c=11.302 alpha=90.00 beta=90.00 gamma=90.00
Atoms (fractional coordinates):
Ac  0.500  0.000  0.247
Ga  0.500  0.500  0.000
Ga  0.500  0.000  0.636
Ac  0.000  0.500  0.753
Ga  0.000  0.500  0.364
Hg  0.500  0.000  0.869
Hg  0.000  0.000  0.500
Cd  0.500  0.500  0.500
Ga  0.000  0.000  0.000
Hg  0.000  0.500  0.131

Values from the calculation:
Magnetization   0.0 μB per cell
DOS(E_F)   3.301 states/eV/f.u.
Calculated formation energy   -0.396 eV/atom


Record 2
Compound: CuSnPt2
Source: Alexandria
Functional: PBE
Structure: optimized geometry

Unit cell a=3.947 b=3.947 c=9.518 alpha=78.03 beta=78.03 gamma=90.00
Atoms (fractional coordinates):
Sn  0.750  0.250  0.500
Pt  0.141  0.625  0.250
Cu  0.250  0.750  0.500
Pt  0.875  0.859  0.750
Sn  0.000  0.000  0.000
Pt  0.609  0.125  0.250
Pt  0.375  0.391  0.750
Cu  0.500  0.500  0.000

Values from the calculation:
Magnetization   0.0 μB per cell
DOS(E_F)   1.727 states/eV/f.u.
Calculated formation energy   -0.095 eV/atom